Computed, not measured: an optimized crystal structure of TbTh6N8 at the GGA-PBE level of DFT.

Properties
- symmetry = Fm-3m, No. 225
- calculated total energy (eV per atom) = -9.160
- formation energy without anion corrections (eV/atom) = -1.443
- ρ (g/cm3) = 10.30

Unit cell a=7.239 b=7.239 c=7.239 alpha=60.00 beta=60.00 gamma=60.00
Fractional coordinates of all 15 atoms:
1 Tb 0.000 0.000 0.000
2 Th 0.000 0.000 0.500
3 Th 0.000 0.500 0.000
4 Th 0.000 0.500 0.500
5 Th 0.500 0.000 0.000
6 Th 0.500 0.000 0.500
7 Th 0.500 0.500 0.000
8 N 0.234 0.234 0.766
9 N 0.234 0.766 0.234
10 N 0.234 0.766 0.766
11 N 0.250 0.250 0.250
12 N 0.750 0.750 0.750
13 N 0.766 0.234 0.234
14 N 0.766 0.234 0.766
15 N 0.766 0.766 0.234